Record 1
Material: Tb6Dy2Ho
Method: DFT, GGA-PBE
State: relaxed

```
Tb6Dy2Ho
1.0
6.370 -7.095 0.000
6.370 7.095 0.000
-1.623 0.000 6.351
Tb Dy Ho
12 4 2
Direct
0.038 0.440 0.726
0.149 0.779 0.996
0.221 0.851 0.504
0.278 0.455 0.183
0.440 0.038 0.226
0.455 0.278 0.683
0.545 0.722 0.317
0.560 0.962 0.774
0.722 0.545 0.817
0.779 0.149 0.496
0.851 0.221 0.004
0.962 0.560 0.274
0.119 0.166 0.368
0.166 0.119 0.868
0.834 0.881 0.132
0.881 0.834 0.632
0.380 0.620 0.750
0.620 0.380 0.250
```

Summary:
Energy above the most stable polymorph in this dataset   96 meV/atom
Formation energy   0.1112 eV/atom
Crystal system   monoclinic



Record 2
Material: Th2In2Ni15
Method: DFT, GGA-PBE
State: relaxed

```
Th2In2Ni15
1.0
4.248 2.453 4.212
-4.248 2.453 4.212
0.000 -4.905 4.212
Th In Ni
2 2 15
Direct
0.146 0.146 0.146
0.854 0.854 0.854
0.395 0.395 0.395
0.605 0.605 0.605
0.000 0.500 0.500
0.152 0.152 0.659
0.152 0.659 0.152
0.195 0.500 0.805
0.195 0.805 0.500
0.341 0.848 0.848
0.500 0.000 0.500
0.500 0.195 0.805
0.500 0.500 0.000
0.500 0.805 0.195
0.659 0.152 0.152
0.805 0.195 0.500
0.805 0.500 0.195
0.848 0.341 0.848
0.848 0.848 0.341
```

Summary:
Formation energy   -0.2183 eV/atom
Crystal system   trigonal



Record 3
Material: CuMo2Pb
Method: DFT, GGA-PBE
State: relaxed

```
CuMo2Pb
1.0
-1.943 1.943 4.485
1.943 -1.943 4.485
1.943 1.943 -4.485
Cu Mo Pb
1 2 1
Direct
0.000 0.000 0.000
0.250 0.750 0.500
0.750 0.250 0.500
0.500 0.500 0.000
```

Summary:
Formation energy   0.5801 eV/atom
Crystal system   tetragonal



Record 4
Material: PmSn4Rh2
Method: DFT, GGA-PBE
State: relaxed

```
PmSn4Rh2
1.0
9.024 0.000 0.000
0.000 9.024 0.000
0.000 0.000 3.874
Pm Sn Rh
2 8 4
Direct
0.000 0.000 0.000
0.500 0.500 0.500
0.070 0.305 0.500
0.195 0.570 0.000
0.305 0.070 0.500
0.430 0.805 0.000
0.570 0.195 0.000
0.695 0.930 0.500
0.805 0.430 0.000
0.930 0.695 0.500
0.213 0.787 0.500
0.287 0.287 0.000
0.713 0.713 0.000
0.787 0.213 0.500
```

Summary:
Energy above the most stable polymorph in this dataset   146 meV/atom
Formation energy   -0.4898 eV/atom
Crystal system   tetragonal



Record 5
Material: Mg6Ga5Hg
Method: DFT, GGA-PBE
State: relaxed

```
Mg6Ga5Hg
1.0
2.418 -7.376 0.000
2.418 7.376 0.000
0.000 0.000 6.646
Mg Ga Hg
6 5 1
Direct
0.000 0.000 0.247
0.000 0.000 0.753
0.333 0.667 0.246
0.333 0.667 0.754
0.667 0.333 0.246
0.667 0.333 0.754
0.168 0.832 0.000
0.172 0.828 0.500
0.500 0.500 0.000
0.828 0.172 0.500
0.832 0.168 0.000
0.500 0.500 0.500
```

Summary:
Formation energy   -0.1466 eV/atom
Crystal system   orthorhombic



Record 6
Material: Pa2InHg
Method: DFT, GGA-PBE
State: relaxed

```
Pa2InHg
1.0
3.191 0.000 0.000
-1.596 2.764 0.000
0.000 0.000 11.126
Pa In Hg
2 1 1
Direct
0.000 0.000 0.248
0.000 0.000 0.752
0.667 0.333 0.500
0.333 0.667 0.000
```

Summary:
Energy above the most stable polymorph in this dataset   0 meV/atom
Formation energy   -0.0438 eV/atom
Crystal system   hexagonal



Record 7
Material: Ce3ZnSi
Method: DFT, GGA-PBE
State: relaxed

```
Ce3ZnSi
1.0
3.859 -7.809 0.000
3.859 7.809 0.000
0.000 0.000 4.316
Ce Zn Si
6 2 2
Direct
0.000 0.500 0.500
0.180 0.820 0.000
0.333 0.333 0.500
0.500 0.000 0.500
0.667 0.667 0.500
0.820 0.180 0.000
0.076 0.924 0.500
0.924 0.076 0.500
0.367 0.633 0.000
0.633 0.367 0.000
```

Summary:
Crystal system   orthorhombic
E_form (uncorrected)   0.0135 eV per atom



Record 8
Material: DyEr2Sc3Se6
Method: DFT, GGA-PBE
State: relaxed

```
DyEr2Sc3Se6
1.0
3.421 -5.955 0.000
3.421 5.955 0.000
-2.286 0.000 6.484
Dy Er Sc Se
1 2 3 6
Direct
0.000 0.000 0.000
0.334 0.666 0.000
0.666 0.334 0.000
0.164 0.836 0.500
0.500 0.500 0.500
0.836 0.164 0.500
0.088 0.424 0.263
0.249 0.249 0.738
0.424 0.088 0.263
0.576 0.912 0.737
0.751 0.751 0.262
0.912 0.576 0.737
```

Summary:
Crystal system   monoclinic
E_form (uncorrected)   -1.6507 eV per atom



Record 9
Material: ZnHg3Pb
Method: DFT, GGA-PBE
State: relaxed

```
ZnHg3Pb
1.0
6.040 0.000 0.000
0.000 6.040 0.000
0.000 0.000 6.040
Zn Hg Pb
1 3 1
Direct
0.000 0.000 0.000
0.000 0.500 0.500
0.500 0.000 0.500
0.500 0.500 0.000
0.500 0.500 0.500
```

Summary:
Energy above the most stable polymorph in this dataset   235 meV/atom
Formation energy   0.3058 eV/atom
Crystal system   cubic



Record 10
Material: Sc2Tl2Te
Method: DFT, GGA-PBE
State: relaxed

```
Sc2Tl2Te
1.0
7.494 0.000 0.000
0.000 7.494 0.000
0.000 0.000 4.669
Sc Tl Te
4 4 2
Direct
0.158 0.342 0.000
0.342 0.842 0.000
0.658 0.158 0.000
0.842 0.658 0.000
0.149 0.649 0.500
0.351 0.149 0.500
0.649 0.851 0.500
0.851 0.351 0.500
0.000 0.000 0.000
0.500 0.500 0.000
```

Summary:
Energy above the most stable polymorph in this dataset   0 meV/atom
Crystal system   tetragonal
E_form (uncorrected)   -0.4566 eV per atom



Record 11
Material: RbZr2InCu
Method: DFT, GGA-PBE
State: relaxed

```
RbZr2InCu
1.0
5.150 0.000 0.000
0.000 5.150 0.000
0.000 0.000 4.820
Rb Zr In Cu
1 2 1 1
Direct
0.000 0.000 0.000
0.000 0.500 0.000
0.500 0.000 0.000
0.500 0.500 0.500
0.000 0.000 0.500
```

Summary:
Formation energy   1.8473 eV/atom
Crystal system   tetragonal



Record 12
Material: V2RhI
Method: DFT, GGA-PBE
State: relaxed

```
V2RhI
1.0
-3.071 3.071 5.248
3.071 -3.071 5.248
3.071 3.071 -5.248
V Rh I
4 2 2
Direct
0.074 0.625 0.949
0.375 0.324 0.449
0.676 0.125 0.051
0.875 0.926 0.551
0.000 0.000 0.000
0.750 0.250 0.500
0.250 0.750 0.500
0.500 0.500 0.000
```

Summary:
Energy above the most stable polymorph in this dataset   230 meV/atom
Crystal system   tetragonal
E_form (uncorrected)   0.7196 eV per atom



Record 13
Material: LaNpCo
Method: DFT, GGA-PBE
State: relaxed

```
LaNpCo
1.0
6.096 0.000 0.000
0.000 3.399 0.000
-1.451 0.000 6.246
La Np Co
2 2 2
Direct
0.077 0.250 0.269
0.923 0.750 0.731
0.457 0.250 0.853
0.543 0.750 0.147
0.364 0.750 0.541
0.636 0.250 0.459
```

Summary:
Formation energy   0.0703 eV/atom
Crystal system   monoclinic



Record 14
Material: Cs2CdIn3Hg4
Method: DFT, GGA-PBE
State: relaxed

```
Cs2CdIn3Hg4
1.0
5.318 0.000 0.000
0.000 5.318 0.000
0.000 0.000 11.994
Cs Cd In Hg
2 1 3 4
Direct
0.000 0.500 0.249
0.500 0.000 0.751
0.000 0.000 0.500
0.000 0.500 0.882
0.500 0.000 0.118
0.500 0.500 0.500
0.000 0.000 0.000
0.000 0.500 0.625
0.500 0.000 0.375
0.500 0.500 0.000
```

Summary:
Formation energy   -0.1278 eV/atom
Crystal system   tetragonal



Record 15
Material: Er5Mg2Al
Method: DFT, GGA-PBE
State: relaxed

```
Er5Mg2Al
1.0
-4.129 4.129 6.404
4.129 -4.129 6.404
4.129 4.129 -6.404
Er Mg Al
10 4 2
Direct
0.000 0.000 0.000
0.005 0.505 0.189
0.184 0.995 0.500
0.316 0.816 0.811
0.495 0.684 0.500
0.500 0.500 0.000
0.505 0.316 0.500
0.684 0.184 0.189
0.816 0.005 0.500
0.995 0.495 0.811
0.136 0.364 0.500
0.364 0.864 0.227
0.636 0.136 0.773
0.864 0.636 0.500
0.250 0.250 0.000
0.750 0.750 0.000
```

Summary:
Formation energy   -0.0150 eV/atom
Crystal system   tetragonal



Record 16
Material: AcScSe3
Method: DFT, GGA-PBE
State: relaxed

```
AcScSe3
1.0
8.599 0.000 0.000
0.000 4.197 0.000
0.000 0.000 14.410
Ac Sc Se
4 4 12
Direct
0.084 0.250 0.171
0.416 0.750 0.671
0.584 0.250 0.329
0.916 0.750 0.829
0.156 0.750 0.445
0.344 0.250 0.945
0.656 0.750 0.055
0.844 0.250 0.555
0.024 0.750 0.613
0.160 0.750 0.009
0.195 0.250 0.784
0.305 0.750 0.284
0.340 0.250 0.509
0.476 0.250 0.113
0.524 0.750 0.887
0.660 0.750 0.491
0.695 0.250 0.716
0.805 0.750 0.216
0.840 0.250 0.991
0.976 0.250 0.387
```

Summary:
Energy above the most stable polymorph in this dataset   0 meV/atom
Crystal system   orthorhombic
E_form (uncorrected)   -1.8887 eV per atom



Record 17
Material: PuNpGa2
Method: DFT, GGA-PBE
State: relaxed

```
PuNpGa2
1.0
0.000 3.550 3.550
3.550 0.000 3.550
3.550 3.550 0.000
Pu Np Ga
1 1 2
Direct
0.000 0.000 0.000
0.500 0.500 0.500
0.250 0.250 0.250
0.750 0.750 0.750
```

Summary:
Energy above the most stable polymorph in this dataset   77 meV/atom
Formation energy   -0.0888 eV/atom
Crystal system   cubic



Record 18
Material: K3PAu
Method: DFT, GGA-PBE
State: relaxed

```
K3PAu
1.0
6.813 0.000 0.000
0.000 9.423 0.000
-0.008 0.000 10.523
K P Au
12 4 4
Direct
0.227 0.042 0.123
0.227 0.458 0.623
0.228 0.042 0.627
0.228 0.458 0.127
0.238 0.744 0.875
0.238 0.756 0.375
0.762 0.244 0.625
0.762 0.256 0.125
0.772 0.542 0.873
0.772 0.958 0.373
0.773 0.542 0.377
0.773 0.958 0.877
0.069 0.248 0.375
0.069 0.252 0.875
0.931 0.748 0.125
0.931 0.752 0.625
0.419 0.248 0.375
0.419 0.252 0.875
0.581 0.748 0.125
0.581 0.752 0.625
```

Summary:
Energy above the most stable polymorph in this dataset   0 meV/atom
Formation energy   -0.2729 eV/atom
Crystal system   monoclinic